[1]
A relaxed BaPrCdHg crystal. Source: the Alexandria database, functional PBE-GGA.

Values from the calculation:
Final energy (eV/cell): -9.217
DOS at the Fermi energy (states/eV per cell): 1.9
Total magnetic moment (μB/f.u.): 0.0
Energy relative to the elements (eV/atom): -0.325
Symmetry: F-43m, No. 216
Calculated volume (Å³ per cell): 132.21

Unit cell a=5.718 b=5.718 c=5.718 alpha=60.00 beta=60.00 gamma=60.00
Element x y z (fractional)
Hg  0.250  0.250  0.250
Pr  0.500  0.500  0.500
Cd  0.750  0.750  0.750
Ba  0.000  0.000  0.000

---

[2]
A relaxed Cd2SbAu crystal. Source: the Alexandria database, functional PBE-GGA.

Values from the calculation:
Final energy (eV/cell): -9.258
DOS at the Fermi energy (states/eV per cell): 0.9
Total magnetic moment (μB/f.u.): 0.0
Symmetry: Pm, No. 6
Calculated volume (Å³ per cell): 96.20

Unit cell a=4.256 b=4.241 c=5.684 alpha=69.68 beta=90.00 gamma=90.00
Element x y z (fractional)
Au  0.500  0.586  0.810
Sb  0.000  0.668  0.459
Cd  0.500  0.235  0.325
Cd  0.000  0.011  0.906

---

Repeat the first record exactly.
A relaxed BaPrCdHg crystal. Source: the Alexandria database, functional PBE-GGA.

Values from the calculation:
Final energy (eV/cell): -9.217
DOS at the Fermi energy (states/eV per cell): 1.9
Total magnetic moment (μB/f.u.): 0.0
Energy relative to the elements (eV/atom): -0.325
Symmetry: F-43m, No. 216
Calculated volume (Å³ per cell): 132.21

Unit cell a=5.718 b=5.718 c=5.718 alpha=60.00 beta=60.00 gamma=60.00
Element x y z (fractional)
Hg  0.250  0.250  0.250
Pr  0.500  0.500  0.500
Cd  0.750  0.750  0.750
Ba  0.000  0.000  0.000

---

Which of these has the lowest final energy?
Cd2SbAu

---

Look up the DOS at the Fermi energy of the second one.
0.9 states/eV per cell